[1]
Here is a relaxed structure of HfCo3Au from Alexandria. Energies are from PBEsol.

Cell: 4.3903 4.3903 4.3903 Å, 90.00 90.00 90.00°
Space group Pm-3m (No. 221)
Inequivalent atoms, fractional coordinates:
1 Hf 0.0000 0.0000 0.0000 x1
2 Co 0.0000 0.0000 0.5000 x3
3 Au 0.5000 0.5000 0.5000 x1

Summary:
The calculated volume is 16.9 Å³/atom. For the calculated formation energy, the calculation gives 139.9 kJ per mole of atoms.


[2]
Here is a relaxed structure of LiHfCo2Au from Alexandria. Energies are from PBEsol.

Cell: 4.7120 4.7120 4.9276 Å, 90.00 90.00 90.00°
Space group P4/mmm (No. 123)
Inequivalent atoms, fractional coordinates:
1 Li 0.0000 0.0000 0.0000 x1
2 Hf 0.5000 0.5000 0.0000 x1
3 Co 0.0000 0.5000 0.5000 x2
4 Au 0.5000 0.5000 0.5000 x1

Summary:
The calculated volume is 21.9 Å³/atom. For the calculated formation energy, the calculation gives 117.9 kJ per mole of atoms.


[3]
Here is a relaxed structure of HfCoPb2Au from Alexandria. Energies are from PBEsol.

Cell: 4.7877 4.7877 4.8563 Å, 90.00 90.00 90.00°
Space group P4/mmm (No. 123)
Inequivalent atoms, fractional coordinates:
1 Hf 0.0000 0.0000 0.0000 x1
2 Co 0.5000 0.5000 0.5000 x1
3 Pb 0.0000 0.5000 0.5000 x2
4 Au 0.5000 0.5000 0.0000 x1

Summary:
The calculated volume is 22.3 Å³/atom. For the calculated formation energy, the calculation gives 59.9 kJ per mole of atoms.


[4]
Here is a relaxed structure of HfCo2AuS from Alexandria. Energies are from PBEsol.

Cell: 4.4586 4.4586 5.0790 Å, 90.00 90.00 90.00°
Space group P4/mmm (No. 123)
Inequivalent atoms, fractional coordinates:
1 Hf 0.0000 0.0000 0.0000 x1
2 Co 0.0000 0.5000 0.0000 x2
3 Au 0.0000 0.0000 0.5000 x1
4 S 0.5000 0.5000 0.5000 x1

Summary:
The calculated volume is 20.2 Å³/atom. The calculation puts the formation energy without anion corrections at 1536.8 meV per atom.


[5]
Here is a relaxed structure of CoHgAu2 from Alexandria. Energies are from PBEsol.

Cell: 2.9116 2.9116 7.6814 Å, 90.00 90.00 90.00°
Space group P4/mmm (No. 123)
Inequivalent atoms, fractional coordinates:
1 Co 0.0000 0.0000 0.0000 x1
2 Hg 0.0000 0.0000 0.5000 x1
3 Au 0.5000 0.5000 0.2152 x2

Summary:
The calculated volume is 16.3 Å³/atom. For the calculated formation energy, the calculation gives 18.6 kJ per mole of atoms.


[6]
Here is a relaxed structure of CoHgAu2 from Alexandria. Energies are from PBEsol.

Cell: 2.8408 4.7328 9.7409 Å, 90.00 90.00 90.00°
Space group Immm (No. 71)
Inequivalent atoms, fractional coordinates:
1 Co 0.0000 0.0000 0.0000 x2
2 Hg 0.0000 0.0000 0.5000 x2
3 Au 0.0000 0.5000 0.2742 x4

Summary:
The calculated volume is 16.4 Å³/atom. For the calculated formation energy, the calculation gives 24.4 kJ per mole of atoms.


[7]
Here is a relaxed structure of CoHg2Au from Alexandria. Energies are from PBEsol.

Cell: 4.2131 4.2131 7.6214 Å, 90.00 90.00 90.00°
Space group I4/mmm (No. 139)
Inequivalent atoms, fractional coordinates:
1 Co 0.0000 0.0000 0.0000 x2
2 Hg 0.0000 0.5000 0.2500 x4
3 Au 0.0000 0.0000 0.5000 x2

Summary:
The calculated volume is 16.9 Å³/atom. For the energy relative to the lowest polymorph listed for this composition, the calculation gives 68.5 meV/atom. For the calculated formation energy, the calculation gives 32.3 kJ per mole of atoms.


[8]
Here is a relaxed structure of CoHg2Au from Alexandria. Energies are from PBEsol.

Cell: 2.9581 4.3801 5.4891 Å, 90.00 103.12 90.00°
Space group Pm (No. 6)
Inequivalent atoms, fractional coordinates:
1 Co 0.0000 0.0000 0.0000 x1
2 Hg 0.2924 0.0000 0.5109 x1
3 Hg 0.5777 0.5000 0.1716 x1
4 Au 0.8831 0.5000 0.7159 x1

Summary:
The calculated volume is 17.3 Å³/atom. For the energy relative to the lowest polymorph listed for this composition, the calculation gives 70.4 meV/atom. For the calculated formation energy, the calculation gives 32.5 kJ per mole of atoms.


[9]
Here is a relaxed structure of CoHg2Au from Alexandria. Energies are from PBEsol.

Cell: 2.9589 2.9589 7.6795 Å, 90.00 90.00 90.00°
Space group P4/mmm (No. 123)
Inequivalent atoms, fractional coordinates:
1 Co 0.0000 0.0000 0.0000 x1
2 Hg 0.5000 0.5000 0.2235 x2
3 Au 0.0000 0.0000 0.5000 x1

Summary:
The calculated volume is 16.8 Å³/atom. For the energy relative to the lowest polymorph listed for this composition, the calculation gives 0.0 meV/atom. For the calculated formation energy, the calculation gives 25.7 kJ per mole of atoms.


[10]
Here is a relaxed structure of MgCoHg2Au from Alexandria. Energies are from PBEsol.

Cell: 5.1628 5.1628 4.9621 Å, 90.00 90.00 90.00°
Space group P4/mmm (No. 123)
Inequivalent atoms, fractional coordinates:
1 Mg 0.0000 0.0000 0.0000 x1
2 Co 0.5000 0.5000 0.0000 x1
3 Hg 0.0000 0.5000 0.5000 x2
4 Au 0.0000 0.0000 0.5000 x1

Summary:
The calculated volume is 26.5 Å³/atom. For the calculated formation energy, the calculation gives 82.6 kJ per mole of atoms.


[11]
Here is a relaxed structure of InCo3Au from Alexandria. Energies are from PBEsol.

Cell: 4.5992 4.5992 4.5992 Å, 90.00 90.00 90.00°
Space group Pm-3m (No. 221)
Inequivalent atoms, fractional coordinates:
1 In 0.0000 0.0000 0.0000 x1
2 Co 0.0000 0.5000 0.5000 x3
3 Au 0.5000 0.5000 0.5000 x1

Summary:
The calculated volume is 19.5 Å³/atom. For the calculated formation energy, the calculation gives 133.8 kJ per mole of atoms.


[12]
Here is a relaxed structure of In2CoAu from Alexandria. Energies are from PBEsol.

Cell: 3.0639 3.0639 7.1718 Å, 90.00 90.00 90.00°
Space group P4/mmm (No. 123)
Inequivalent atoms, fractional coordinates:
1 In 0.0000 0.0000 0.2184 x2
2 Co 0.5000 0.5000 0.0000 x1
3 Au 0.5000 0.5000 0.5000 x1

Summary:
The calculated volume is 16.8 Å³/atom. For the calculated formation energy, the calculation gives 1.4 kJ per mole of atoms.